Record 1
## AsPb8 (SCAN)

Data for a PBEsol-optimized structure of AsPb8.

Unit cell a=4.814 b=7.685 c=7.685 alpha=84.37 beta=71.75 gamma=71.75
Atoms (fractional coordinates):
As  0.000  0.000  0.000
Pb  0.338  0.000  0.323
Pb  0.662  0.000  0.677
Pb  0.671  0.329  0.329
Pb  0.338  0.323  0.000
Pb  0.000  0.329  0.671
Pb  0.662  0.677  0.000
Pb  0.329  0.671  0.671
Pb  0.000  0.671  0.329

Results
Total energy in eV per atom: -69.519
ΔE_f in eV/atom: 0.085

***

Record 2
## As2Pb3 (SCAN)

Data for a PBEsol-optimized structure of As2Pb3.

Unit cell a=4.983 b=4.983 c=6.553 alpha=90.00 beta=90.00 gamma=120.00
Atoms (fractional coordinates):
Pb  0.000  0.000  0.000
Pb  0.333  0.667  0.329
Pb  0.667  0.333  0.671
As  0.333  0.667  0.784
As  0.667  0.333  0.216

Results
Relative energy among the computed polymorphs in eV per formula unit: 0.50
Total energy in eV per atom: -53.484
ΔE_f in eV/atom: 0.061

***

Record 3
## As4Pd5Pb (SCAN)

Data for a PBEsol-optimized structure of As4Pd5Pb.

Unit cell a=6.664 b=6.776 c=9.508 alpha=105.70 beta=90.00 gamma=119.45
Atoms (fractional coordinates):
As  0.584  0.829  0.536
As  0.416  0.171  0.464
As  0.940  0.574  0.363
As  0.366  0.426  0.137
As  0.245  0.829  0.036
As  0.755  0.171  0.964
As  0.634  0.574  0.863
As  0.060  0.426  0.637
Pd  0.743  0.588  0.602
Pd  0.000  0.000  0.500
Pd  0.257  0.412  0.398
Pd  0.550  0.224  0.220
Pd  0.326  0.776  0.280
Pd  0.000  0.000  0.000
Pd  0.845  0.588  0.102
Pd  0.450  0.776  0.780
Pd  0.155  0.412  0.898
Pd  0.674  0.224  0.720
Pb  0.807  0.000  0.250
Pb  0.193  0.000  0.750

Results
Total energy in eV per atom: -32.388
ΔE_f in eV/atom: -0.346

***

Record 4
## As3PdPb (SCAN)

Data for a PBEsol-optimized structure of As3PdPb.

Unit cell a=4.885 b=4.885 c=4.885 alpha=90.00 beta=90.00 gamma=90.00
Atoms (fractional coordinates):
Pb  0.500  0.500  0.500
As  0.000  0.500  0.000
As  0.000  0.000  0.500
As  0.500  0.000  0.000
Pd  0.000  0.000  0.000

Results
Relative energy among the computed polymorphs in eV per formula unit: 0.00
Total energy in eV per atom: -33.380
ΔE_f in eV/atom: 0.446